(1)
# SmSiBi

Crystalline SmSiBi at its relaxed geometry (PBE-GGA, OQMD via LeMat-Bulk).

Geometry as extended XYZ:
```
3
Lattice="0.0000 3.5931 3.5931 3.5931 0.0000 3.5931 3.5931 3.5931 0.0000" Properties=species:S:1:pos:R:3 pbc="T T T"
Sm 0.0000 0.0000 0.0000
Si 1.7966 1.7966 1.7966
Bi 5.3897 5.3897 5.3897
```

Output
- energy (eV for the cell shown) = -13.9
- polymorph energy (0 for the lowest one) (meV/atom) = 246

---

(2)
# Cs2AgBiBr6

Crystalline Cs2AgBiBr6 at its relaxed geometry (PBE-GGA, OQMD via LeMat-Bulk).

Geometry as extended XYZ:
```
10
Lattice="0.0000 5.7070 5.7070 5.7070 0.0000 5.7070 5.7070 5.7070 0.0000" Properties=species:S:1:pos:R:3 pbc="T T T"
Cs 2.8535 2.8535 2.8535
Cs 8.5605 8.5605 8.5605
Ag 0.0000 0.0000 0.0000
Bi 5.7070 5.7070 5.7070
Br 5.7070 5.7070 2.8348
Br 5.7070 2.8348 5.7070
Br 8.5792 5.7070 5.7070
Br 2.8348 5.7070 5.7070
Br 5.7070 8.5792 5.7070
Br 5.7070 5.7070 8.5792
```

Output
- energy (eV for the cell shown) = -29.9

---

(3)
# Lu2Al

Crystalline Lu2Al at its relaxed geometry (PBE-GGA, OQMD via LeMat-Bulk).

Geometry as extended XYZ:
```
6
Lattice="0.0000 6.3698 6.3698 6.3698 0.0000 6.3698 6.3698 6.3698 0.0000" Properties=species:S:1:pos:R:3 pbc="T T T"
Lu 0.0000 0.0000 0.0000
Lu 3.1849 3.1849 0.0000
Lu 3.1849 0.0000 3.1849
Lu 0.0000 3.1849 3.1849
Al 1.5925 1.5925 1.5925
Al 11.1472 11.1472 11.1472
```

Output
- energy (eV for the cell shown) = -15.8

---

(4)
# Cu2Ag3

Crystalline Cu2Ag3 at its relaxed geometry (PBE-GGA, OQMD via LeMat-Bulk).

Geometry as extended XYZ:
```
10
Lattice="7.1713 -1.9912 0.0000 7.1713 1.9912 0.0000 -1.3049 0.0000 5.4680" Properties=species:S:1:pos:R:3 pbc="T T T"
Cu 1.0763 0.0000 1.6273
Cu 3.1442 0.0000 4.9091
Cu 9.8935 0.0000 0.5589
Cu 11.9614 0.0000 3.8406
Ag 0.4512 0.0000 4.4480
Ag 3.7357 0.0000 2.1582
Ag 7.1713 0.0000 0.0000
Ag 6.5188 0.0000 2.7340
Ag 9.3020 0.0000 3.3098
Ag 12.5864 0.0000 1.0200
```

Output
- energy (eV for the cell shown) = -30.9
- polymorph energy (0 for the lowest one) (meV/atom) = 60